The following is a DFT calculation (PBE) of a geometry-optimized RbSbAs2 structure.

```
4
Lattice="-2.506 3.023 -0.773 -2.151 0.002 -3.374 -7.909 -3.225 2.666" Properties=species:S:1:pos:R:3 pbc="T T T"
Sb 0.000 0.000 0.000
As -2.746 0.213 -0.622
As -9.819 -0.413 -0.860
Rb -6.282 -0.100 -0.741
```

Results
Formation energy from raw total energies   -0.0329 eV/atom
Energy   -3.63 eV per atom
Symmetry   R-3m, No. 166
Total magnetization   0.00 μB per formula unit

The following is a DFT calculation (PBE) of a geometry-optimized Rb2Sb2As structure.

```
10
Lattice="7.767 0.000 0.000 0.000 7.767 0.000 0.000 0.000 5.884" Properties=species:S:1:pos:R:3 pbc="T T T"
Sb 2.864 6.748 0.000
Sb 6.748 4.903 0.000
Sb 4.903 1.019 0.000
Sb 1.019 2.864 0.000
As 0.000 0.000 0.000
As 3.884 3.884 0.000
Rb 1.382 5.265 2.942
Rb 5.265 6.385 2.942
Rb 6.385 2.502 2.942
Rb 2.502 1.382 2.942
```

Results
Formation energy from raw total energies   -0.2035 eV/atom
Energy   -3.17 eV per atom
ΔE to the lowest computed polymorph   58 meV/atom
Symmetry   P4/mbm, No. 127
Total magnetization   0.00 μB per formula unit

The following is a DFT calculation (PBE) of a geometry-optimized Rb8Sb2As structure.

```
11
Lattice="-5.965 0.791 -1.285 -1.487 -8.283 1.804 1.931 5.789 9.324" Properties=species:S:1:pos:R:3 pbc="T T T"
Rb -1.697 0.136 7.957
Rb -4.719 -5.439 3.825
Rb -4.658 -1.921 5.709
Rb -4.316 4.579 8.118
Rb -0.862 0.217 4.133
Rb -0.802 3.736 6.017
Rb -3.823 -1.840 1.885
Rb -1.204 -6.282 1.724
Sb -4.150 1.765 5.619
Sb -1.370 -3.468 4.223
As -2.982 0.395 -0.643
```

Results
Formation energy from raw total energies   -0.3046 eV/atom
Energy   -2.18 eV per atom
Symmetry   C2/m, No. 12
Total magnetization   1.24 μB per formula unit

The following is a DFT calculation (PBE) of a geometry-optimized RbSbAs2 structure.

```
8
Lattice="-4.557 6.184 -2.063 -2.302 0.829 7.568 0.003 6.282 3.492" Properties=species:S:1:pos:R:3 pbc="T T T"
Sb 0.000 0.000 0.000
Sb -3.992 7.986 2.091
As -3.525 6.068 0.353
As -1.618 2.333 5.522
As -2.373 7.271 4.037
As -6.196 10.919 8.084
Rb -3.429 3.506 2.753
Rb -2.864 5.309 6.907
```

Results
Formation energy from raw total energies   -0.1001 eV/atom
Energy   -3.70 eV per atom
Symmetry   I-42d, No. 122
Total magnetization   0.00 μB per formula unit

The following is a DFT calculation (PBE) of a geometry-optimized RbSb2As2 structure.

```
5
Lattice="-4.230 -2.497 2.000 2.469 -4.657 -0.593 1.311 -3.083 5.957" Properties=species:S:1:pos:R:3 pbc="T T T"
Sb -0.177 -3.418 2.391
Sb -0.274 -6.819 4.973
As -1.900 -4.579 4.330
As 1.449 -5.658 3.034
Rb 0.000 0.000 0.000
```

Results
Formation energy from raw total energies   -0.1547 eV/atom
Energy   -3.86 eV per atom
ΔE to the lowest computed polymorph   0 meV/atom
Symmetry   I4/mmm, No. 139
Total magnetization   0.00 μB per formula unit

The following is a DFT calculation (PBE) of a geometry-optimized Rb3SbAs structure.

```
10
Lattice="-3.228 4.328 -1.605 -8.732 -4.943 4.235 5.652 5.894 4.528" Properties=species:S:1:pos:R:3 pbc="T T T"
Rb -2.120 4.137 0.457
Rb -4.233 1.202 6.679
Rb -3.094 0.626 2.829
Rb 0.186 6.666 2.635
Rb -3.261 4.715 4.306
Rb -6.540 -1.325 4.500
Sb 0.332 4.206 5.594
Sb -6.687 1.134 1.541
As -0.123 2.994 3.240
As -6.231 2.347 3.895
```

Results
Formation energy from raw total energies   -0.2685 eV/atom
Energy   -2.60 eV per atom
ΔE to the lowest computed polymorph   0 meV/atom
Symmetry   Cmcm, No. 63
Total magnetization   0.00 μB per formula unit